Record 1
Below is a geometry-optimized Ba2Tl6ZnAg structure, with properties calculated at the GGA-PBE level.

abc: 7.5511 7.5511 13.6863
angles: 73.99 73.99 60.00
With the nearest neighbours (Å) after each atom.
Atoms (fractional coordinates):
Tl1 0.9154 0.3420 0.4006  1 Zn 2.81, 1 Ag 2.94
Tl2 0.3420 0.3420 0.4006  1 Zn 2.81, 1 Ag 2.94
Tl3 0.3384 0.7784 0.1048  1 Zn 2.79, 1 Ag 2.99
Zn1 0.5000 0.5000 0.5000  6 Tl 2.81, 2 Ag 2.83
Ba1 0.2826 0.2826 0.1521  12 Tl 3.72-3.85
Ba2 0.8896 0.8896 0.3312  12 Tl 3.82-3.95
Tl4 0.7784 0.7784 0.1048  1 Zn 2.79, 1 Ag 2.99
Tl5 0.7784 0.3384 0.1048  1 Zn 2.79, 1 Ag 2.99
Tl6 0.6616 0.2216 0.8952  1 Zn 2.79, 1 Ag 2.99
Ag1 0.4272 0.4272 0.7184  1 Zn 2.83, 6 Tl 2.94-2.99
Tl7 0.6580 0.6580 0.5994  1 Zn 2.81, 1 Ag 2.94
Ba3 0.1104 0.1104 0.6688  12 Tl 3.82-3.95
Tl8 0.6580 0.0846 0.5994  1 Zn 2.81, 1 Ag 2.94
Ag2 0.5728 0.5728 0.2816  1 Zn 2.83, 6 Tl 2.94-2.99
Tl9 0.2216 0.2216 0.8952  1 Zn 2.79, 1 Ag 2.99
Tl10 0.3420 0.9154 0.4006  1 Zn 2.81, 1 Ag 2.94
Tl11 0.0846 0.6580 0.5994  1 Zn 2.81, 1 Ag 2.94
Ba4 0.7174 0.7174 0.8479  12 Tl 3.72-3.85
Zn2 0.0000 0.0000 0.0000  6 Tl 2.79
Tl12 0.2216 0.6616 0.8952  1 Zn 2.79, 1 Ag 2.99

The spin magnetization is 0.000 μB per atom. The density comes out at 8680 kg/m³. For the density of states at the Fermi level, the calculation gives 12.1 states/eV/cell. The formation enthalpy at 0 K is -145 meV per atom. As for the space group: R-3m.

Record 2
Below is a geometry-optimized BaTmAg2 structure, with properties calculated at the GGA-PBE level.

abc: 5.0719 5.0719 6.3813
angles: 66.58 66.58 60.00
With the nearest neighbours (Å) after each atom.
Atoms (fractional coordinates):
Ba1 0.0000 0.0000 0.0000  8 Ag 3.42-3.69
Tm1 0.5000 0.5000 0.5000  6 Ag 2.99
Ag1 0.2009 0.2009 0.3973  3 Tm 2.99, 3 Ag 3.15
Ag2 0.7991 0.7991 0.6027  3 Tm 2.99, 3 Ag 3.15

The spin magnetization is 0.000 μB per atom. Its excess energy over the best structure of this formula in the dataset is 0.076 eV/atom. The density comes out at 6862 kg/m³. For the density of states at the Fermi level, the calculation gives 3.0 states/eV/cell. The formation enthalpy at 0 K is -169 meV per atom. As for the space group: R-3m.

Record 3
Below is a geometry-optimized BaTm2Ag structure, with properties calculated at the GGA-PBE level.

abc: 3.6819 3.6819 9.6165
angles: 90.00 90.00 90.00
With the nearest neighbours (Å) after each atom.
Atoms (fractional coordinates):
Ba1 0.5000 0.5000 0.5000  4 Ba 3.68, 8 Tm 4.07
Ag1 0.5000 0.5000 0.0000  8 Tm 3.10
Tm1 0.0000 0.0000 0.1754  4 Ag 3.10, 1 Tm 3.37
Tm2 0.0000 0.0000 0.8246  4 Ag 3.10, 1 Tm 3.37

The spin magnetization is 0.000 μB per atom. The density comes out at 7427 kg/m³. For the density of states at the Fermi level, the calculation gives 5.4 states/eV/cell. The formation enthalpy at 0 K is 18 meV per atom. As for the space group: P4/mmm.

Record 4
Below is a geometry-optimized BaTmAg2 structure, with properties calculated at the GGA-PBE level.

abc: 3.7786 3.7786 7.8787
angles: 90.00 90.00 90.00
With the nearest neighbours (Å) after each atom.
Atoms (fractional coordinates):
Ba1 0.5000 0.5000 0.5000  8 Ag 3.60, 4 Ba 3.78, 2 Tm 3.94
Tm1 0.5000 0.5000 0.0000  8 Ag 3.08
Ag1 0.0000 0.0000 0.1936  1 Ag 3.05, 4 Tm 3.08
Ag2 0.0000 0.0000 0.8064  1 Ag 3.05, 4 Tm 3.08

The spin magnetization is 0.000 μB per atom. Its excess energy over the best structure of this formula in the dataset is 0.000 eV/atom. The density comes out at 7706 kg/m³. For the density of states at the Fermi level, the calculation gives 3.4 states/eV/cell. The formation enthalpy at 0 K is -245 meV per atom. As for the space group: P4/mmm.

Record 5
Below is a geometry-optimized BaTmAg2 structure, with properties calculated at the GGA-PBE level.

abc: 3.7012 5.5061 5.5061
angles: 90.00 90.00 90.00
With the nearest neighbours (Å) after each atom.
Atoms (fractional coordinates):
Ag1 0.0000 0.0000 0.5000  4 Ba 3.32, 4 Tm 3.32, 2 Ag 3.70
Ba1 0.5000 0.0000 0.0000  8 Ag 3.32, 2 Ba 3.70
Tm1 0.5000 0.5000 0.5000  8 Ag 3.32, 2 Tm 3.70
Ag2 0.0000 0.5000 0.0000  4 Ba 3.32, 4 Tm 3.32, 2 Ag 3.70

The spin magnetization is 0.000 μB per atom. Its excess energy over the best structure of this formula in the dataset is 0.107 eV/atom. The density comes out at 7725 kg/m³. For the density of states at the Fermi level, the calculation gives 2.6 states/eV/cell. The formation enthalpy at 0 K is -138 meV per atom. As for the space group: P4/mmm.

Record 6
Below is a geometry-optimized BaV2Ag structure, with properties calculated at the GGA-PBE level.

abc: 4.4859 4.4859 10.9529
angles: 78.18 78.18 90.00
With the nearest neighbours (Å) after each atom.
Atoms (fractional coordinates):
Ag1 0.5000 0.5000 0.0000  4 V 2.85, 4 Ba 3.17
V1 0.3571 0.6250 0.2500  2 V 2.25
V2 0.3929 0.1250 0.2500  2 V 2.25
Ba1 0.7500 0.2500 0.5000  4 Ag 3.17
V3 0.3750 0.6071 0.7500  2 V 2.25
Ag2 0.2500 0.7500 0.5000  4 V 2.85, 4 Ba 3.17
Ba2 0.0000 0.0000 0.0000  4 Ag 3.17
V4 0.8750 0.6429 0.7500  2 V 2.25

The spin magnetization is 0.415 μB per atom. Its excess energy over the best structure of this formula in the dataset is 0.000 eV/atom. The density comes out at 5464 kg/m³. For the density of states at the Fermi level, the calculation gives 10.4 states/eV/cell. The formation enthalpy at 0 K is 956 meV per atom. As for the space group: I-42d.

Record 7
Below is a geometry-optimized BaVAg3 structure, with properties calculated at the GGA-PBE level.

abc: 5.8848 5.8848 5.8848
angles: 90.00 90.00 90.00
With the nearest neighbours (Å) after each atom.
Atoms (fractional coordinates):
Ag1 0.0000 0.5000 0.0000  2 Ba 2.94
Ag2 0.0000 0.0000 0.5000  2 Ba 2.94
Ag3 0.5000 0.0000 0.0000  2 Ba 2.94
Ba1 0.0000 0.0000 0.0000  6 Ag 2.94
V1 0.5000 0.5000 0.5000  12 Ag 4.16

The spin magnetization is 0.774 μB per atom. Its excess energy over the best structure of this formula in the dataset is 1.098 eV/atom. The density comes out at 4171 kg/m³. For the density of states at the Fermi level, the calculation gives 8.0 states/eV/cell. The formation enthalpy at 0 K is 1506 meV per atom. As for the space group: Pm-3m.

Record 8
Below is a geometry-optimized Ba2VAg structure, with properties calculated at the GGA-PBE level.

abc: 5.8521 5.8521 5.8521
angles: 60.00 60.00 60.00
With the nearest neighbours (Å) after each atom.
Atoms (fractional coordinates):
Ba1 0.7500 0.7500 0.7500  4 Ag 3.58, 4 V 3.58
Ba2 0.2500 0.2500 0.2500  4 Ag 3.58, 4 V 3.58
V1 0.0000 0.0000 0.0000  8 Ba 3.58
Ag1 0.5000 0.5000 0.5000  8 Ba 3.58

The spin magnetization is 1.223 μB per atom. Its excess energy over the best structure of this formula in the dataset is 0.000 eV/atom. The density comes out at 5079 kg/m³. For the density of states at the Fermi level, the calculation gives 3.0 states/eV/cell. The formation enthalpy at 0 K is 442 meV per atom. As for the space group: Fm-3m.

Record 9
Below is a geometry-optimized BaV2Ag structure, with properties calculated at the GGA-PBE level.

abc: 5.0746 5.0746 5.0746
angles: 60.00 60.00 60.00
With the nearest neighbours (Å) after each atom.
Atoms (fractional coordinates):
Ba1 0.5000 0.5000 0.5000  8 V 3.11
V1 0.2500 0.2500 0.2500  4 Ba 3.11, 4 Ag 3.11
Ag1 0.0000 0.0000 0.0000  8 V 3.11
V2 0.7500 0.7500 0.7500  4 Ba 3.11, 4 Ag 3.11

The spin magnetization is 1.660 μB per atom. Its excess energy over the best structure of this formula in the dataset is 0.130 eV/atom. The density comes out at 6237 kg/m³. For the density of states at the Fermi level, the calculation gives 8.8 states/eV/cell. The formation enthalpy at 0 K is 1086 meV per atom. As for the space group: Fm-3m.

Record 10
Below is a geometry-optimized BaVAg3 structure, with properties calculated at the GGA-PBE level.

abc: 5.2248 5.2248 5.2248
angles: 90.00 90.00 90.00
With the nearest neighbours (Å) after each atom.
Atoms (fractional coordinates):
Ag1 0.0000 0.0000 0.5000  2 V 2.61
Ag2 0.5000 0.0000 0.0000  2 V 2.61
V1 0.0000 0.0000 0.0000  6 Ag 2.61
Ba1 0.5000 0.5000 0.5000  12 Ag 3.69
Ag3 0.0000 0.5000 0.0000  2 V 2.61

The spin magnetization is 0.732 μB per atom. Its excess energy over the best structure of this formula in the dataset is 0.000 eV/atom. The density comes out at 5959 kg/m³. For the density of states at the Fermi level, the calculation gives 5.9 states/eV/cell. The formation enthalpy at 0 K is 409 meV per atom. As for the space group: Pm-3m.

Record 11
Below is a geometry-optimized Ba3VAg structure, with properties calculated at the GGA-PBE level.

abc: 6.3479 6.3479 6.3479
angles: 90.00 90.00 90.00
With the nearest neighbours (Å) after each atom.
Atoms (fractional coordinates):
Ba1 0.0000 0.5000 0.0000  2 Ag 3.17
Ba2 0.5000 0.0000 0.0000  2 Ag 3.17
Ba3 0.0000 0.0000 0.5000  2 Ag 3.17
V1 0.5000 0.5000 0.5000  12 Ba 4.49
Ag1 0.0000 0.0000 0.0000  6 Ba 3.17

The spin magnetization is 0.907 μB per atom. Its excess energy over the best structure of this formula in the dataset is 0.000 eV/atom. The density comes out at 3705 kg/m³. For the density of states at the Fermi level, the calculation gives 8.7 states/eV/cell. The formation enthalpy at 0 K is 599 meV per atom. As for the space group: Pm-3m.

Record 12
Below is a geometry-optimized Ba2VAg structure, with properties calculated at the GGA-PBE level.

abc: 9.0546 9.0546 7.3301
angles: 51.86 51.86 90.00
With the nearest neighbours (Å) after each atom.
Atoms (fractional coordinates):
Ba1 0.1139 0.6250 0.2500  2 Ag 3.26, 2 V 3.39, 2 Ba 3.57
Ba2 0.3750 0.3639 0.7500  2 Ag 3.26, 2 V 3.39, 2 Ba 3.57
Ag1 0.7500 0.2500 0.5000  4 Ba 3.26, 2 V 3.57
V1 0.2500 0.7500 0.5000  4 Ba 3.39, 2 Ag 3.57
V2 0.5000 0.5000 0.0000  4 Ba 3.39, 2 Ag 3.57
Ba3 0.6361 0.1250 0.2500  2 Ag 3.26, 2 V 3.39, 2 Ba 3.57
Ba4 0.8750 0.8861 0.7500  2 Ag 3.26, 2 V 3.39, 2 Ba 3.57
Ag2 0.0000 0.0000 0.0000  4 Ba 3.26, 2 V 3.57

The spin magnetization is 1.125 μB per atom. Its excess energy over the best structure of this formula in the dataset is 0.221 eV/atom. The density comes out at 4920 kg/m³. For the density of states at the Fermi level, the calculation gives 8.5 states/eV/cell. The formation enthalpy at 0 K is 663 meV per atom. As for the space group: I-42d.

Record 13
Below is a geometry-optimized BaAgW2 structure, with properties calculated at the GGA-PBE level.

abc: 3.3156 3.3468 8.9751
angles: 68.42 90.00 90.00
With the nearest neighbours (Å) after each atom.
Atoms (fractional coordinates):
W1 0.5000 0.2710 0.2194  4 W 2.58-2.66
Ag1 0.0000 0.5543 0.4425  5 W 3.00-3.01, 4 Ag 3.32-3.35
Ba1 0.5000 0.7482 0.7563  4 Ba 3.32-3.35, 4 Ag 3.52-3.53, 4 W 3.60
W2 0.0000 0.9265 0.0818  4 W 2.58-2.66

The spin magnetization is 0.000 μB per atom. Its excess energy over the best structure of this formula in the dataset is 0.000 eV/atom. The density comes out at 10989 kg/m³. For the density of states at the Fermi level, the calculation gives 5.2 states/eV/cell. The formation enthalpy at 0 K is 672 meV per atom. As for the space group: Pm.

Record 14
Below is a geometry-optimized BaAgW2 structure, with properties calculated at the GGA-PBE level.

abc: 6.0867 6.0867 2.8216
angles: 90.00 90.00 123.91
With the nearest neighbours (Å) after each atom.
Atoms (fractional coordinates):
W1 0.5000 0.5000 0.0000  4 W 2.82-2.86
Ba1 0.0000 0.5000 0.5000  2 Ba 2.82, 2 Ag 2.86
W2 0.0000 0.0000 0.0000  4 W 2.82-2.86
Ag1 0.5000 0.0000 0.5000  2 Ag 2.82, 2 Ba 2.86

The spin magnetization is 0.000 μB per atom. Its excess energy over the best structure of this formula in the dataset is 0.796 eV/atom. The density comes out at 11731 kg/m³. For the density of states at the Fermi level, the calculation gives 3.6 states/eV/cell. The formation enthalpy at 0 K is 1468 meV per atom. As for the space group: Cmmm.